! PBE-GGA SmHoSeO2, optimized geometry; values from VASP
&SYSTEM
  ibrav = 0, nat = 10, ntyp = 4
/
ATOMIC_SPECIES
Sm 150.36 Sm.upf
Ho 164.93 Ho.upf
Se 78.96 Se.upf
O 16.00 O.upf
ATOMIC_POSITIONS angstrom
Sm 0.228 1.013 3.121
Sm 3.992 3.039 4.190
Ho -1.013 1.013 6.713
Ho 5.232 3.039 0.598
Se 1.232 3.039 5.445
Se 2.988 1.013 1.866
O -1.977 3.039 6.471
O -0.757 3.039 2.727
O 4.976 1.013 4.584
O 6.197 1.013 0.841
CELL_PARAMETERS angstrom
6.558 0.000 0.000
0.000 4.052 0.000
-2.338 0.000 7.311
! size of the total moment = 0.000 μB per atom
! uncorrected formation energy = -3083 meV/atom
! DOS(E_F) = 0.00 states/eV/f.u.
! energy = -76.23 eV/cell


! PBE-GGA HoSnSe2O, optimized geometry; values from VASP
&SYSTEM
  ibrav = 0, nat = 10, ntyp = 4
/
ATOMIC_SPECIES
Ho 164.93 Ho.upf
Sn 118.71 Sn.upf
Se 78.96 Se.upf
O 16.00 O.upf
ATOMIC_POSITIONS angstrom
Ho 0.971 0.971 1.122
Ho 2.912 2.912 14.405
Sn 0.971 0.971 10.246
Sn 2.912 2.912 5.282
Se 0.971 0.971 6.063
Se 0.971 0.971 12.819
Se 2.912 2.912 2.708
Se 2.912 2.912 9.465
O 0.971 2.912 0.000
O 2.912 0.971 0.000
CELL_PARAMETERS angstrom
3.883 0.000 0.000
0.000 3.883 0.000
0.000 0.000 15.528
! size of the total moment = 0.000 μB per atom
! uncorrected formation energy = -1720 meV/atom
! DOS(E_F) = 1.24 states/eV/f.u.
! energy = -58.21 eV/cell


! PBE-GGA SrHoSe2O8, optimized geometry; values from VASP
&SYSTEM
  ibrav = 0, nat = 12, ntyp = 4
/
ATOMIC_SPECIES
Sr 87.62 Sr.upf
Ho 164.93 Ho.upf
Se 78.96 Se.upf
O 16.00 O.upf
ATOMIC_POSITIONS angstrom
Sr 0.000 0.000 0.000
Ho 0.000 0.000 3.669
Se 0.000 3.319 5.683
Se 2.874 1.659 1.654
O -1.465 4.158 5.206
O 0.005 1.631 5.206
O 1.415 0.811 2.131
O 0.000 3.319 0.009
O 2.874 1.659 7.328
O 1.459 4.167 5.206
O 2.869 3.348 2.131
O 4.339 0.820 2.131
CELL_PARAMETERS angstrom
5.748 0.000 0.000
-2.874 4.978 0.000
0.000 0.000 7.337
! size of the total moment = 0.000 μB per atom
! uncorrected formation energy = -1642 meV/atom
! DOS(E_F) = 3.34 states/eV/f.u.
! energy = -72.60 eV/cell


! PBE-GGA TbHoSeO2, optimized geometry; values from VASP
&SYSTEM
  ibrav = 0, nat = 10, ntyp = 4
/
ATOMIC_SPECIES
Tb 158.93 Tb.upf
Ho 164.93 Ho.upf
Se 78.96 Se.upf
O 16.00 O.upf
ATOMIC_POSITIONS angstrom
Tb 0.232 1.002 3.082
Tb 4.011 3.007 4.175
Ho -0.907 1.002 6.648
Ho 5.150 3.007 0.609
Se 1.283 3.007 5.380
Se 2.960 1.002 1.878
O -1.896 3.007 6.396
O -0.711 3.007 2.730
O 4.954 1.002 4.527
O 6.139 1.002 0.861
CELL_PARAMETERS angstrom
6.476 0.000 0.000
0.000 4.010 0.000
-2.234 0.000 7.257
! size of the total moment = 0.000 μB per atom
! uncorrected formation energy = -3121 meV/atom
! DOS(E_F) = 0.00 states/eV/f.u.
! energy = -76.42 eV/cell


Repeat the fourth record exactly.
! PBE-GGA TbHoSeO2, optimized geometry; values from VASP
&SYSTEM
  ibrav = 0, nat = 10, ntyp = 4
/
ATOMIC_SPECIES
Tb 158.93 Tb.upf
Ho 164.93 Ho.upf
Se 78.96 Se.upf
O 16.00 O.upf
ATOMIC_POSITIONS angstrom
Tb 0.232 1.002 3.082
Tb 4.011 3.007 4.175
Ho -0.907 1.002 6.648
Ho 5.150 3.007 0.609
Se 1.283 3.007 5.380
Se 2.960 1.002 1.878
O -1.896 3.007 6.396
O -0.711 3.007 2.730
O 4.954 1.002 4.527
O 6.139 1.002 0.861
CELL_PARAMETERS angstrom
6.476 0.000 0.000
0.000 4.010 0.000
-2.234 0.000 7.257
! size of the total moment = 0.000 μB per atom
! uncorrected formation energy = -3121 meV/atom
! DOS(E_F) = 0.00 states/eV/f.u.
! energy = -76.42 eV/cell


> Among the records above, which one has the lowest energy?

TbHoSeO2